(1)
The following is a PBE calculation of a geometry-optimized RbIn12 structure, from Alexandria via LeMat-Bulk.

Geometry as POSCAR:
```
RbIn12
1.0
-7.180 5.104 0.861
-4.379 2.727 -7.193
-8.013 -3.292 -1.816
In Rb
12 1
Direct
0.160 0.840 0.500
0.500 0.160 0.500
0.840 0.500 0.160
0.500 0.840 0.500
0.500 0.840 0.160
0.500 0.500 0.160
0.160 0.500 0.500
0.500 0.500 0.840
0.840 0.160 0.500
0.840 0.500 0.500
0.500 0.160 0.840
0.160 0.500 0.840
0.000 0.000 0.000
```

Computed properties:
Formation energy ... 101 meV per atom
Calculated total energy ... -2.50 eV per atom
Space group ... Fm-3m

(2)
The following is a PBE calculation of a geometry-optimized RbIn6 structure, from Alexandria via LeMat-Bulk.

Geometry as POSCAR:
```
RbIn6
1.0
6.884 0.000 0.000
0.000 6.884 0.000
0.000 0.000 9.291
In Rb
12 2
Direct
0.799 0.299 0.647
0.299 0.799 0.353
0.201 0.701 0.647
0.299 0.201 0.647
0.201 0.299 0.353
0.701 0.201 0.353
0.701 0.799 0.647
0.000 0.000 0.164
0.500 0.500 0.164
0.000 0.000 0.836
0.500 0.500 0.836
0.799 0.701 0.353
0.000 0.500 0.000
0.500 0.000 0.000
```

Computed properties:
Formation energy ... -33 meV per atom
Calculated total energy ... -2.52 eV per atom
Space group ... P4/nbm
Offset from the most stable computed form ... 0.0 meV/atom

(3)
The following is a PBE calculation of a geometry-optimized RbIn6 structure, from Alexandria via LeMat-Bulk.

Geometry as POSCAR:
```
RbIn6
1.0
7.129 0.000 0.000
-2.376 6.721 0.000
-2.376 -3.361 5.821
In Rb
6 1
Direct
0.500 0.250 0.750
0.750 0.500 0.250
0.500 0.750 0.250
0.250 0.500 0.750
0.750 0.250 0.500
0.250 0.750 0.500
0.000 0.000 0.000
```

Computed properties:
Formation energy ... 88 meV per atom
Calculated total energy ... -2.40 eV per atom
Space group ... Im-3m
Offset from the most stable computed form ... 121.4 meV/atom